# 1
VASP calculation (PBE) on ZrAs2Au after structural relaxation.

abc: 3.0256 4.6116 5.6495
angles: 90.00 97.14 90.00
Element x y z (fractional)
Zr 0.0000 0.0000 0.0000
As 0.2123 0.0000 0.5363
As 0.5949 0.5000 0.1855
Au 0.4721 0.5000 0.7194

Output
SG: No. 6
formation energy from the elements: -0.3661 eV/atom
E: -22.589 eV per cell



# 2
VASP calculation (PBE) on Cr3NiC after structural relaxation.

abc: 4.3971 4.3971 4.3971
angles: 90.00 90.00 90.00
Element x y z (fractional)
Cr 0.0000 0.0000 0.5000
Cr 0.0000 0.5000 0.0000
Cr 0.5000 0.0000 0.0000
Ni 0.0000 0.0000 0.0000
C 0.5000 0.5000 0.5000

Output
energy above the most stable polymorph in this dataset: 2.187 eV per atom
SG: No. 221
formation energy from the elements: 2.2281 eV/atom
E: -32.735 eV per cell



# 3
VASP calculation (PBE) on Tb3Y2ScSe6 after structural relaxation.

abc: 9.0664 9.0664 8.1492
angles: 103.03 103.03 25.80
Element x y z (fractional)
Tb 0.0000 0.0000 0.0000
Tb 0.3301 0.3301 0.6643
Tb 0.6699 0.6699 0.3357
Y 0.3335 0.3335 0.1670
Y 0.6665 0.6665 0.8330
Sc 0.0000 0.0000 0.5000
Se 0.1608 0.1608 0.5811
Se 0.1666 0.1666 0.0830
Se 0.4986 0.4986 0.7384
Se 0.5014 0.5014 0.2616
Se 0.8334 0.8334 0.9170
Se 0.8392 0.8392 0.4189

Output
uncorrected formation energy: -1.733 eV/atom
SG: No. 12
E: -74.855 eV per cell



# 4
VASP calculation (PBE) on MgRh3Cl after structural relaxation.

abc: 4.4165 4.4165 4.4165
angles: 90.00 90.00 90.00
Element x y z (fractional)
Mg 0.0000 0.0000 0.0000
Rh 0.0000 0.5000 0.5000
Rh 0.5000 0.0000 0.5000
Rh 0.5000 0.5000 0.0000
Cl 0.5000 0.5000 0.5000

Output
energy above the most stable polymorph in this dataset: 0.000 eV per atom
uncorrected formation energy: 0.385 eV/atom
SG: No. 221
E: -23.573 eV per cell